No. 1
Entry from Alexandria: crystalline Ca4Sn3Pb at its relaxed geometry (PBE-GGA).

Values from the calculation:
DOS(E_F), states/eV per atom: 0.496
Volume, Å³ per atom: 28.8
Energy of formation, meV per atom: -578

Cell lengths 11.1576, 7.2330, 5.7165 Å; angles 90.00, 90.00, 90.00 degrees
With the nearest neighbours (Å) after each atom.
Space group Pmma (No. 51)
One atom of each set of equivalent atoms:
1 Ca 0.0000 0.2478 0.0000  6 Sn 3.37-3.40, 2 Pb 3.39, 4 Ca 3.58-3.65
2 Ca 0.2500 0.2475 0.3920  6 Sn 3.31-3.44, 2 Pb 3.39, 4 Ca 3.58-3.65
3 Sn 0.0000 0.0000 0.5000  8 Ca 3.37, 2 Sn 3.53, 2 Pb 3.62
4 Sn 0.2500 0.0000 0.8784  8 Ca 3.31-3.44, 4 Sn 3.53-3.62
5 Sn 0.2500 0.5000 0.8811  8 Ca 3.34-3.44, 2 Pb 3.54, 2 Sn 3.62
6 Pb 0.0000 0.5000 0.5000  8 Ca 3.39, 4 Sn 3.54-3.62

***

No. 2
Entry from Alexandria: crystalline CaDyY2As4 at its relaxed geometry (PBE-GGA).

Values from the calculation:
DOS(E_F), states/eV per atom: 0.462
Volume, Å³ per atom: 25.3
Energy of formation, meV per atom: -1381

Cell lengths 7.1994, 4.1374, 7.1997 Å; angles 90.00, 109.29, 90.00 degrees
With the nearest neighbours (Å) after each atom.
Space group P2/m (No. 10)
One atom of each set of equivalent atoms:
1 Ca 0.0000 0.0000 0.0000  6 As 2.97
2 Dy 0.5000 0.5000 0.0000  6 As 2.93
3 Y 0.0000 0.5000 0.5000  6 As 2.94
4 Y 0.5000 0.0000 0.5000  6 As 2.90-2.91
5 As 0.2531 0.0000 0.7479  3 Y 2.91-2.94, 2 Dy 2.93, 1 Ca 2.97
6 As 0.2567 0.5000 0.2561  3 Y 2.90-2.94, 1 Dy 2.93, 2 Ca 2.97

***

No. 3
Entry from Alexandria: crystalline TiTeS at its relaxed geometry (PBE-GGA).

Values from the calculation:
DOS(E_F), states/eV per atom: 0.306
Energy relative to the lowest polymorph listed for this composition, meV/atom: 27.9
Volume, Å³ per atom: 26.0
Formation energy without anion corrections, kJ per mole of atoms: -95

Cell lengths 14.4249, 3.4798, 6.2084 Å; angles 90.00, 91.58, 90.00 degrees
With the nearest neighbours (Å) after each atom.
Space group C2/m (No. 12)
One atom of each set of equivalent atoms:
1 Ti 0.0000 0.0000 0.0000  4 S 2.43
2 Ti 0.0000 0.5000 0.5000  2 S 2.43
3 Te 0.1313 0.0000 0.3413  3 Ti 2.77-2.80
4 S 0.0919 0.5000 0.8347  3 Ti 2.43

***

No. 4
Entry from Alexandria: crystalline AcCeSn2Au4 at its relaxed geometry (PBE-GGA).

Values from the calculation:
DOS(E_F), states/eV per atom: 0.868
Volume, Å³ per atom: 24.3
Energy of formation, meV per atom: -666

Cell lengths 5.1086, 5.1086, 25.8335 Å; angles 90.00, 90.00, 120.00 degrees
With the nearest neighbours (Å) after each atom.
Space group R-3m (No. 166, hexagonal axes)
One atom of each set of equivalent atoms:
1 Ac 0.0000 0.0000 0.0000  8 Au 3.21-3.33
2 Ce 0.0000 0.0000 0.5000  8 Au 3.04-3.11
3 Sn 0.0000 0.0000 0.2469  7 Au 3.05-3.15
4 Au 0.0000 0.0000 0.1287  4 Sn 3.05-3.15, 3 Ce 3.11, 1 Ac 3.33
5 Au 0.0000 0.0000 0.3824  1 Ce 3.04, 3 Sn 3.10, 3 Ac 3.21

***

No. 5
Entry from Alexandria: crystalline KScF3 at its relaxed geometry (PBE-GGA).

Values from the calculation:
DOS(E_F), states/eV per atom: 1.355
Energy relative to the lowest polymorph listed for this composition, meV/atom: 1262.4
Volume, Å³ per atom: 19.5
Formation energy without anion corrections, kJ per mole of atoms: -176

Cell lengths 4.6020, 4.6020, 4.6020 Å; angles 90.00, 90.00, 90.00 degrees
With the nearest neighbours (Å) after each atom.
Space group Pm-3m (No. 221)
One atom of each set of equivalent atoms:
1 K 0.0000 0.0000 0.0000  6 F 2.30
2 Sc 0.5000 0.5000 0.5000  12 F 3.25
3 F 0.0000 0.0000 0.5000  2 K 2.30

***

No. 6
Entry from Alexandria: crystalline La2RhPb at its relaxed geometry (PBE-GGA).

Values from the calculation:
DOS(E_F), states/eV per atom: 0.605
Volume, Å³ per atom: 27.7
Energy of formation, meV per atom: -642

Cell lengths 5.1285, 5.1503, 8.3809 Å; angles 90.00, 90.00, 90.00 degrees
With the nearest neighbours (Å) after each atom.
Space group Cmmm (No. 65)
One atom of each set of equivalent atoms:
1 La 0.0000 0.0000 0.2049  4 Rh 3.09, 1 La 3.43
2 Rh 0.0000 0.5000 0.0000  8 La 3.09
3 Pb 0.0000 0.5000 0.5000  8 La 3.56-3.57, 4 Pb 3.63

***

no.,final energy (eV/atom)
1,-3.544
2,-6.147
3,-6.044
4,-4.560
5,-4.431
6,-5.871